A plane-wave DFT calculation with PBE was carried out for a geometry-optimized NiIr2Rh structure.

Values from the calculation:
Space group: No. 225
E_tot, eV for the cell shown: -29.52
Energy of formation from the pure elements, eV per atom: 0.333
Size of the total moment, μB per formula unit: 0.0
Volume, Å³/f.u.: 55.5

Lattice parameters (Å, degrees): 4.2810 4.2810 4.2810 60.00 60.00 60.00
With the nearest neighbours (Å) after each atom.
Positions (direct):
Ni 0.0000 0.0000 0.0000  8 Ir 2.62
Ir 0.2500 0.2500 0.2500  4 Rh 2.62, 4 Ni 2.62
Ir 0.7500 0.7500 0.7500  4 Rh 2.62, 4 Ni 2.62
Rh 0.5000 0.5000 0.5000  8 Ir 2.62

A plane-wave DFT calculation with PBE was carried out for a geometry-optimized AcNd2Lu structure.

Values from the calculation:
Space group: No. 225
Excess energy over the best structure of this formula in the dataset, meV per atom: 134.9
E_tot, eV for the cell shown: -17.48
Energy of formation from the pure elements, eV per atom: 0.171
Size of the total moment, μB per formula unit: 0.6
Volume, Å³/f.u.: 145.4

Lattice parameters (Å, degrees): 5.9029 5.9029 5.9029 60.00 60.00 60.00
With the nearest neighbours (Å) after each atom.
Positions (direct):
Ac 0.0000 0.0000 0.0000  8 Nd 3.61
Nd 0.2500 0.2500 0.2500  4 Ac 3.61, 4 Lu 3.61
Nd 0.7500 0.7500 0.7500  4 Ac 3.61, 4 Lu 3.61
Lu 0.5000 0.5000 0.5000  8 Nd 3.61

A plane-wave DFT calculation with PBE was carried out for a geometry-optimized LaDy9In2 structure.

Values from the calculation:
Space group: No. 123
E_tot, eV for the cell shown: -53.63
Energy of formation from the pure elements, eV per atom: -0.150
Size of the total moment, μB per formula unit: 0.0
Volume, Å³/f.u.: 358.7

Lattice parameters (Å, degrees): 4.8728 4.8728 15.1056 90.00 90.00 90.00
With the nearest neighbours (Å) after each atom.
Positions (direct):
La 0.0000 0.0000 0.0000  12 Dy 3.45-3.62
Dy 0.0000 0.5000 0.1772  8 Dy 3.45-3.62, 2 In 3.46, 2 La 3.62
Dy 0.0000 0.5000 0.5000  8 Dy 3.43-3.45, 4 In 3.43
Dy 0.0000 0.5000 0.8228  8 Dy 3.45-3.62, 2 In 3.46, 2 La 3.62
Dy 0.5000 0.0000 0.1772  8 Dy 3.45-3.62, 2 In 3.46, 2 La 3.62
Dy 0.5000 0.0000 0.5000  8 Dy 3.43-3.45, 4 In 3.43
Dy 0.5000 0.0000 0.8228  8 Dy 3.45-3.62, 2 In 3.46, 2 La 3.62
Dy 0.5000 0.5000 0.0000  4 La 3.45, 8 Dy 3.62
Dy 0.5000 0.5000 0.3405  8 Dy 3.43-3.47, 4 In 3.45
Dy 0.5000 0.5000 0.6595  8 Dy 3.43-3.47, 4 In 3.45
In 0.0000 0.0000 0.3400  12 Dy 3.43-3.46
In 0.0000 0.0000 0.6600  12 Dy 3.43-3.46